Entry 1:
Here is a geometry-optimized PmPd3Au4O12 structure from the Alexandria database. Energies are from GGA-PBE.

abc: 6.9301 6.9301 6.9301
angles: 106.74 106.74 106.74
Closest atoms and distances in Å follow each position.
Atoms (fractional coordinates):
O (0.3206, 0.9940, 0.2643)  1 Au 2.00, 1 Pd 2.11
O (0.9940, 0.2643, 0.3206)  1 Au 2.00, 1 Pd 2.11
O (0.0857, 0.9143, 0.5000)  2 Pd 2.04
O (0.5000, 0.0857, 0.9143)  2 Pd 2.04
O (0.6814, 0.5000, 0.3186)  2 Pd 1.96, 1 Au 2.02
O (0.9143, 0.5000, 0.0857)  2 Pd 2.04
O (0.3186, 0.6814, 0.5000)  2 Pd 1.96, 1 Au 2.02
O (0.7357, 0.0060, 0.6794)  1 Au 2.00, 1 Pd 2.11
O (0.5000, 0.3186, 0.6814)  2 Pd 1.96, 1 Au 2.02
O (0.0060, 0.6794, 0.7357)  1 Au 2.00, 1 Pd 2.11
O (0.6794, 0.7357, 0.0060)  1 Au 2.00, 1 Pd 2.11
O (0.2643, 0.3206, 0.9940)  1 Au 2.00, 1 Pd 2.11
Au (0.8768, 0.1232, 0.5000)  2 O 2.00
Au (0.5000, 0.8768, 0.1232)  2 O 2.00
Au (0.1232, 0.5000, 0.8768)  2 O 2.00
Au (0.5000, 0.5000, 0.5000)  3 O 2.02
Pd (0.4153, 0.0000, 0.5847)  6 O 1.96-2.11
Pd (0.5847, 0.4153, 0.0000)  6 O 1.96-2.11
Pd (0.0000, 0.5847, 0.4153)  6 O 1.96-2.11
Pm (0.0000, 0.0000, 0.0000)  6 O 2.46

Computed properties:
calculated volume: 279.1 Å³ per cell
spin magnetization: 0.00 μB/f.u.
space group: No. 155
uncorrected formation energy: -392 meV/atom

Entry 2:
Here is a geometry-optimized PrPd3Au4O12 structure from the Alexandria database. Energies are from GGA-PBE.

abc: 6.9442 6.9442 6.9442
angles: 106.66 106.66 106.66
Closest atoms and distances in Å follow each position.
Atoms (fractional coordinates):
O (0.3182, 0.6818, 0.5000)  2 Pd 1.96, 1 Au 2.02
O (0.7317, 0.0052, 0.6758)  1 Au 1.99, 1 Pd 2.10
O (0.2683, 0.3242, 0.9948)  1 Au 1.99, 1 Pd 2.10
O (0.6758, 0.7317, 0.0052)  1 Au 1.99, 1 Pd 2.10
O (0.9948, 0.2683, 0.3242)  1 Au 1.99, 1 Pd 2.10
O (0.5000, 0.0852, 0.9148)  2 Pd 2.04
O (0.0852, 0.9148, 0.5000)  2 Pd 2.04
O (0.6818, 0.5000, 0.3182)  2 Pd 1.96, 1 Au 2.02
O (0.5000, 0.3182, 0.6818)  2 Pd 1.96, 1 Au 2.02
O (0.3242, 0.9948, 0.2683)  1 Au 1.99, 1 Pd 2.10
O (0.0052, 0.6758, 0.7317)  1 Au 1.99, 1 Pd 2.10
O (0.9148, 0.5000, 0.0852)  2 Pd 2.04
Au (0.1253, 0.5000, 0.8747)  2 O 1.99
Au (0.5000, 0.5000, 0.5000)  3 O 2.02
Au (0.8747, 0.1253, 0.5000)  2 O 1.99
Au (0.5000, 0.8747, 0.1253)  2 O 1.99
Pd (0.0000, 0.5855, 0.4145)  6 O 1.96-2.10
Pd (0.4145, 0.0000, 0.5855)  6 O 1.96-2.10
Pd (0.5855, 0.4145, 0.0000)  6 O 1.96-2.10
Pr (0.0000, 0.0000, 0.0000)  6 O 2.49

Computed properties:
calculated volume: 281.5 Å³ per cell
spin magnetization: 0.00 μB/f.u.
space group: No. 155
uncorrected formation energy: -394 meV/atom

Entry 3:
Here is a geometry-optimized PdPtAuO2 structure from the Alexandria database. Energies are from GGA-PBE.

abc: 3.8341 5.4259 3.8341
angles: 90.00 90.00 90.00
Closest atoms and distances in Å follow each position.
Atoms (fractional coordinates):
O (0.5000, 0.0000, 0.0000)  2 Pd 1.92
O (0.0000, 0.0000, 0.5000)  2 Pd 1.92
Pd (0.0000, 0.0000, 0.0000)  4 O 1.92
Pt (0.0000, 0.5000, 0.0000)  4 Au 2.71, 2 Pd 2.71
Au (0.5000, 0.5000, 0.5000)  4 Pt 2.71

Computed properties:
calculated volume: 79.8 Å³ per cell
spin magnetization: 0.00 μB/f.u.
space group: No. 123
uncorrected formation energy: 495 meV/atom

Entry 4:
Here is a geometry-optimized Rb5PdAuO2 structure from the Alexandria database. Energies are from GGA-PBE.

abc: 5.6709 5.6709 9.5875
angles: 90.00 90.00 90.00
Closest atoms and distances in Å follow each position.
Atoms (fractional coordinates):
O (0.0000, 0.0000, 0.7849)  1 Pd 2.06
O (0.0000, 0.0000, 0.2151)  1 Pd 2.06
Rb (0.5000, 0.0000, 0.7866)  2 O 2.84
Rb (0.5000, 0.0000, 0.2134)  2 O 2.84
Rb (0.0000, 0.5000, 0.7866)  2 O 2.84
Rb (0.0000, 0.0000, 0.5000)  2 O 2.73
Rb (0.0000, 0.5000, 0.2134)  2 O 2.84
Pd (0.0000, 0.0000, 0.0000)  2 O 2.06
Au (0.5000, 0.5000, 0.5000)  12 Rb 3.95-4.01

Computed properties:
calculated volume: 308.3 Å³ per cell
spin magnetization: 0.23 μB/f.u.
space group: No. 123
uncorrected formation energy: -683 meV/atom

Entry 5:
Here is a geometry-optimized Rb2PdAuO4 structure from the Alexandria database. Energies are from GGA-PBE.

abc: 6.0678 7.6786 10.2993
angles: 83.32 72.87 66.73
Closest atoms and distances in Å follow each position.
Atoms (fractional coordinates):
O (0.0928, 0.3129, 0.4988)  1 Pd 2.00, 1 Au 2.02
O (0.4084, 0.6871, 0.4988)  1 Pd 2.00, 1 Au 2.02
O (0.9045, 0.6871, 0.5012)  1 Pd 2.00, 1 Au 2.02
O (0.3416, 0.8129, 0.0012)  1 Pd 2.00, 1 Au 2.02
O (0.8455, 0.8129, 0.9988)  1 Pd 2.00, 1 Au 2.02
O (0.1557, 0.1871, 0.9988)  1 Pd 2.00, 1 Au 2.02
O (0.5943, 0.3129, 0.5012)  1 Pd 2.00, 1 Au 2.02
O (0.6572, 0.1871, 0.0012)  1 Pd 2.00, 1 Au 2.02
Pd (0.7500, 0.5000, 0.5000)  4 O 2.00
Pd (0.0000, 0.0000, 0.0000)  4 O 2.00
Rb (0.1708, 0.0000, 0.6583)  2 O 2.71
Rb (0.8292, 0.0000, 0.3417)  2 O 2.71
Rb (0.5792, 0.5000, 0.8417)  2 O 2.71
Rb (0.9208, 0.5000, 0.1583)  2 O 2.71
Au (0.5000, 0.0000, 0.0000)  4 O 2.02
Au (0.2500, 0.5000, 0.5000)  4 O 2.02

Computed properties:
calculated volume: 421.3 Å³ per cell
spin magnetization: 1.04 μB/f.u.
space group: No. 70
uncorrected formation energy: -729 meV/atom

Entry 6:
Here is a geometry-optimized RePdAuO2 structure from the Alexandria database. Energies are from GGA-PBE.

abc: 3.7734 5.6073 3.7734
angles: 90.00 90.00 90.00
Closest atoms and distances in Å follow each position.
Atoms (fractional coordinates):
Re (0.0000, 0.0000, 0.0000)  4 O 1.89
Pd (0.5000, 0.5000, 0.5000)  4 Au 2.67
O (0.5000, 0.0000, 0.0000)  2 Re 1.89
O (0.0000, 0.0000, 0.5000)  2 Re 1.89
Au (0.0000, 0.5000, 0.0000)  4 Pd 2.67, 2 Re 2.80

Computed properties:
calculated volume: 79.8 Å³ per cell
spin magnetization: 0.00 μB/f.u.
space group: No. 123
uncorrected formation energy: -469 meV/atom

Entry 7:
Here is a geometry-optimized Sr2PdAuO6 structure from the Alexandria database. Energies are from GGA-PBE.

abc: 5.1306 5.4390 6.1594
angles: 116.20 108.78 90.00
Closest atoms and distances in Å follow each position.
Atoms (fractional coordinates):
Sr (0.2154, 0.2357, 0.4715)  5 O 2.46-2.56
Sr (0.7846, 0.7643, 0.5285)  5 O 2.46-2.56
O (0.1901, 0.6771, 0.8455)  1 Au 2.02, 1 Pd 2.05
O (0.7280, 0.3181, 0.6362)  1 Pd 1.99
O (0.1901, 0.1684, 0.8455)  1 Au 2.02, 1 Pd 2.05
O (0.8099, 0.3229, 0.1545)  1 Au 2.02, 1 Pd 2.05
O (0.2720, 0.6819, 0.3638)  1 Pd 1.99
O (0.8099, 0.8316, 0.1545)  1 Au 2.02, 1 Pd 2.05
Au (0.5000, 0.0000, 0.0000)  4 O 2.02
Pd (0.0000, 0.5000, 0.0000)  6 O 1.99-2.05

Computed properties:
calculated volume: 144.0 Å³ per cell
spin magnetization: 1.04 μB/f.u.
space group: No. 12
uncorrected formation energy: -1268 meV/atom

Entry 8:
Here is a geometry-optimized TePdAuO6 structure from the Alexandria database. Energies are from GGA-PBE.

abc: 5.2716 5.2716 9.5629
angles: 90.00 90.00 120.00
Closest atoms and distances in Å follow each position.
Atoms (fractional coordinates):
O (0.3648, 0.3574, 0.3643)  1 Te 1.99, 1 Pd 2.04
O (0.0074, 0.3648, 0.6357)  1 Te 1.99, 1 Pd 2.04
O (0.3574, 0.9926, 0.6357)  1 Te 1.99, 1 Pd 2.04
O (0.0074, 0.6426, 0.8643)  1 Te 1.99, 1 Pd 2.04
O (0.6352, 0.9926, 0.8643)  1 Te 1.99, 1 Pd 2.04
O (0.9926, 0.3574, 0.1357)  1 Te 1.99, 1 Pd 2.04
O (0.9926, 0.6352, 0.3643)  1 Te 1.99, 1 Pd 2.04
O (0.6352, 0.6426, 0.6357)  1 Te 1.99, 1 Pd 2.04
O (0.6426, 0.6352, 0.1357)  1 Te 1.99, 1 Pd 2.04
O (0.3648, 0.0074, 0.1357)  1 Te 1.99, 1 Pd 2.04
O (0.3574, 0.3648, 0.8643)  1 Te 1.99, 1 Pd 2.04
O (0.6426, 0.0074, 0.3643)  1 Te 1.99, 1 Pd 2.04
Au (0.0000, 0.0000, 0.5000)  6 O 2.30
Au (0.0000, 0.0000, 0.0000)  6 O 2.30
Te (0.6667, 0.3333, 0.2500)  6 O 1.99
Te (0.3333, 0.6667, 0.7500)  6 O 1.99
Pd (0.6667, 0.3333, 0.7500)  6 O 2.04
Pd (0.3333, 0.6667, 0.2500)  6 O 2.04

Computed properties:
calculated volume: 230.1 Å³ per cell
spin magnetization: 0.00 μB/f.u.
space group: No. 163
uncorrected formation energy: -431 meV/atom

Entry 9:
Here is a geometry-optimized TiPd2AuO structure from the Alexandria database. Energies are from GGA-PBE.

abc: 4.9476 4.8239 4.9476
angles: 90.00 90.00 90.00
Closest atoms and distances in Å follow each position.
Atoms (fractional coordinates):
Ti (0.0000, 0.5000, 0.0000)  2 Au 2.41
O (0.5000, 0.5000, 0.5000)  8 Pd 3.46, 4 Ti 3.50
Pd (0.5000, 0.0000, 0.0000)  2 Au 2.47
Pd (0.0000, 0.0000, 0.5000)  2 Au 2.47
Au (0.0000, 0.0000, 0.0000)  2 Ti 2.41, 4 Pd 2.47

Computed properties:
calculated volume: 118.1 Å³ per cell
spin magnetization: 0.00 μB/f.u.
space group: No. 123
uncorrected formation energy: 1328 meV/atom

Entry 10:
Here is a geometry-optimized Tl2PdAuO4 structure from the Alexandria database. Energies are from GGA-PBE.

abc: 5.6043 5.6043 5.6043
angles: 105.06 111.72 111.72
Closest atoms and distances in Å follow each position.
Atoms (fractional coordinates):
Pd (0.5000, 0.2500, 0.7500)  4 O 2.02
O (0.0825, 0.9537, 0.6324)  1 Pd 2.02, 1 Tl 2.25
O (0.9175, 0.5499, 0.8712)  1 Pd 2.02, 1 Tl 2.25
O (0.6787, 0.1288, 0.0463)  1 Pd 2.02, 1 Tl 2.25
O (0.3213, 0.3676, 0.4501)  1 Pd 2.02, 1 Tl 2.25
Tl (0.0000, 0.0000, 0.0000)  4 O 2.25
Tl (0.5000, 0.7500, 0.2500)  4 O 2.71
Au (0.0000, 0.5000, 0.5000)  4 O 2.26

Computed properties:
calculated volume: 134.9 Å³ per cell
spin magnetization: 0.00 μB/f.u.
space group: No. 82
uncorrected formation energy: -251 meV/atom